Record 1
Density functional theory data (GGA-PBE) for a relaxed structure of BeAl2Pb.

Lattice parameters (Å, degrees): 4.061 3.255 6.338 70.79 90.00 90.00
Fractional positions:
Al  0.500  0.450  0.235
Al  0.000  0.031  0.101
Be  0.000  0.326  0.455
Pb  0.500  0.692  0.709

Results
Calculated volume = 79.1 Å³/f.u.
ΔH_f (0 K) = 0.4056 eV/atom
Excess energy over the best structure of this formula in the dataset = 13.4 kJ/mol of atoms

Record 2
Density functional theory data (GGA-PBE) for a relaxed structure of BeAl2Pb.

Lattice parameters (Å, degrees): 5.029 5.029 5.029 128.07 128.07 76.52
Fractional positions:
Be  0.500  0.500  0.000
Al  0.250  0.750  0.500
Al  0.000  0.000  0.000
Pb  0.750  0.250  0.500

Results
Calculated volume = 76.6 Å³/f.u.
ΔH_f (0 K) = 0.5282 eV/atom
Excess energy over the best structure of this formula in the dataset = 25.2 kJ/mol of atoms

Record 3
Density functional theory data (GGA-PBE) for a relaxed structure of BeAl2Pb2.

Lattice parameters (Å, degrees): 3.697 3.697 9.024 78.18 78.18 90.00
Fractional positions:
Pb  0.595  0.595  0.810
Pb  0.405  0.405  0.190
Be  0.000  0.000  0.000
Al  0.250  0.750  0.500
Al  0.750  0.250  0.500

Results
Calculated volume = 118.0 Å³/f.u.
ΔH_f (0 K) = 0.5439 eV/atom
Excess energy over the best structure of this formula in the dataset = 16.5 kJ/mol of atoms